(1)
MnP2Pb | PBE-GGA | optimized geometry

Summary:
E_form = 0.54 eV per atom
electronic total energy = -21.56 eV for the cell shown

POSCAR file:
```
MnP2Pb
1.0
5.8449 0.0103 0.0000
3.2235 4.8756 0.0000
-4.5342 -2.4430 2.7633
P Mn Pb
2 1 1
Direct
0.0000 0.0000 0.0000
0.2500 0.7500 0.5000
0.7500 0.2500 0.5000
0.5000 0.5000 0.0000
```



(2)
Ag8ICl6 | PBE-GGA | optimized geometry

Summary:
electronic total energy = -39.66 eV for the cell shown
uncorrected formation energy = -281 meV/atom

POSCAR file:
```
Ag8ICl6
1.0
-2.7414 0.1815 6.6310
-6.0731 -2.1183 -3.1857
2.7843 -6.5885 0.5986
Cl Ag I
6 8 1
Direct
0.6805 0.3898 0.8577
0.1423 0.3195 0.6102
0.3898 0.8577 0.6805
0.8577 0.6805 0.3898
0.6102 0.1423 0.3195
0.3195 0.6102 0.1423
0.8120 0.1062 0.6357
0.8938 0.3643 0.1880
0.7210 0.7210 0.7210
0.1062 0.6357 0.8120
0.3643 0.1880 0.8938
0.1880 0.8938 0.3643
0.2790 0.2790 0.2790
0.6357 0.8120 0.1062
0.0000 0.0000 0.0000
```



(3)
In2FeSi | PBE-GGA | optimized geometry

Summary:
electronic total energy = -16.87 eV for the cell shown
uncorrected formation energy = 624 meV/atom

POSCAR file:
```
In2FeSi
1.0
4.7914 0.0000 0.0000
2.3957 4.1495 0.0000
2.3957 1.3832 3.9121
In Fe Si
2 1 1
Direct
0.7500 0.7500 0.7500
0.0000 0.0000 0.0000
0.5000 0.5000 0.5000
0.2500 0.2500 0.2500
```